1.
# OsIN3

OsIN3 after structural relaxation (GGA-PBE, Alexandria via LeMat-Bulk).

- VASP energy: -0.1648 hartree per atom
- DOS at the Fermi energy: 4.58 states/eV/f.u.
- Formation energy without anion corrections: 3067 meV per atom
- Symmetry: Pm-3m (221)

Cell lengths 3.9377, 3.9377, 3.9377 Å; angles 90.00, 90.00, 90.00 degrees
Element x y z (fractional)
Os: 0.0000 0.0000 0.0000
I: 0.5000 0.5000 0.5000
N: 0.0000 0.5000 0.5000
N: 0.5000 0.0000 0.5000
N: 0.5000 0.5000 0.0000

2.
# Os3IN

Os3IN after structural relaxation (GGA-PBE, Alexandria via LeMat-Bulk).

- VASP energy: -0.2657 hartree per atom
- DOS at the Fermi energy: 3.47 states/eV/f.u.
- E above lowest polymorph: 0.0000 eV/atom
- Formation energy without anion corrections: 1483 meV per atom
- Symmetry: Pm-3m (221)

Cell lengths 4.1956, 4.1956, 4.1956 Å; angles 90.00, 90.00, 90.00 degrees
Element x y z (fractional)
Os: 0.0000 0.0000 0.5000
Os: 0.0000 0.5000 0.0000
Os: 0.5000 0.0000 0.0000
I: 0.5000 0.5000 0.5000
N: 0.0000 0.0000 0.0000

3.
# Os2IN

Os2IN after structural relaxation (GGA-PBE, Alexandria via LeMat-Bulk).

- VASP energy: -0.2221 hartree per atom
- DOS at the Fermi energy: 3.10 states/eV/f.u.
- E above lowest polymorph: 1.0090 eV/atom
- Formation energy without anion corrections: 2040 meV per atom
- Symmetry: Fm-3m (225)

Cell lengths 4.3469, 4.3469, 4.3469 Å; angles 60.00, 60.00, 60.00 degrees
Element x y z (fractional)
Os: 0.2500 0.2500 0.2500
Os: 0.7500 0.7500 0.7500
I: 0.0000 0.0000 0.0000
N: 0.5000 0.5000 0.5000

4.
# Os2IN

Os2IN after structural relaxation (GGA-PBE, Alexandria via LeMat-Bulk).

- VASP energy: -0.2592 hartree per atom
- DOS at the Fermi energy: 2.43 states/eV/f.u.
- E above lowest polymorph: 0.0000 eV/atom
- Formation energy without anion corrections: 1031 meV per atom
- Symmetry: I-42d (122)

Cell lengths 6.5496, 6.5496, 6.5496 Å; angles 134.28, 134.28, 66.65 degrees
Element x y z (fractional)
Os: 0.0061 0.6250 0.8811
Os: 0.3750 0.2561 0.3811
Os: 0.7439 0.1250 0.1189
Os: 0.8750 0.9939 0.6189
I: 0.2500 0.7500 0.5000
I: 0.5000 0.5000 0.0000
N: 0.0000 0.0000 0.0000
N: 0.7500 0.2500 0.5000

5.
# OsIN3

OsIN3 after structural relaxation (GGA-PBE, Alexandria via LeMat-Bulk).

- VASP energy: -0.2263 hartree per atom
- DOS at the Fermi energy: 3.26 states/eV/f.u.
- Formation energy without anion corrections: 1395 meV per atom
- Symmetry: Pm-3m (221)

Cell lengths 3.9626, 3.9626, 3.9626 Å; angles 90.00, 90.00, 90.00 degrees
Element x y z (fractional)
Os: 0.0000 0.0000 0.0000
I: 0.5000 0.5000 0.5000
N: 0.0000 0.0000 0.5000
N: 0.0000 0.5000 0.0000
N: 0.5000 0.0000 0.0000

6.
# Os3IN

Os3IN after structural relaxation (GGA-PBE, Alexandria via LeMat-Bulk).

- VASP energy: -0.1700 hartree per atom
- DOS at the Fermi energy: 10.46 states/eV/f.u.
- E above lowest polymorph: 2.6025 eV/atom
- Formation energy without anion corrections: 4086 meV per atom
- Symmetry: Pm-3m (221)

Cell lengths 4.8386, 4.8386, 4.8386 Å; angles 90.00, 90.00, 90.00 degrees
Element x y z (fractional)
Os: 0.0000 0.0000 0.5000
Os: 0.0000 0.5000 0.0000
Os: 0.5000 0.0000 0.0000
I: 0.0000 0.0000 0.0000
N: 0.5000 0.5000 0.5000